(1)
# MnBi3Pb

A geometry-optimized MnBi3Pb structure (PBE, Alexandria).

a = 5.2199 Å, b = 5.2199 Å, c = 5.2199 Å
α = 90.00°, β = 90.00°, γ = 90.00°
With the nearest neighbours (Å) after each atom.
Fractional coordinates of all 5 atoms:
Mn (0.0000, 0.0000, 0.0000)  6 Bi 2.61
Bi (0.0000, 0.5000, 0.0000)  2 Mn 2.61
Bi (0.0000, 0.0000, 0.5000)  2 Mn 2.61
Pb (0.5000, 0.5000, 0.5000)  12 Bi 3.69
Bi (0.5000, 0.0000, 0.0000)  2 Mn 2.61

## Properties
The total energy comes out at -4.443 eV per atom. Its symmetry is Pm-3m (221). The value obtained for the density of states at the Fermi level is 1.77 states/eV per atom. The total magnetization is 0.0 μB/cell. Its offset from the most stable computed form is 0 meV per atom. As for the energy of formation: 0.461 eV per atom.

***

(2)
# ReNiCl4

A geometry-optimized ReNiCl4 structure (PBE, Alexandria).

a = 5.7748 Å, b = 5.7748 Å, c = 5.7748 Å
α = 60.00°, β = 60.00°, γ = 60.00°
With the nearest neighbours (Å) after each atom.
Fractional coordinates of all 6 atoms:
Cl (0.3751, 0.3751, 0.8747)  6 Cl 2.89
Cl (0.8747, 0.3751, 0.3751)  6 Cl 2.89
Cl (0.3751, 0.8747, 0.3751)  6 Cl 2.89
Ni (0.7500, 0.7500, 0.7500)  12 Cl 3.39, 4 Re 3.54
Re (0.0000, 0.0000, 0.0000)  12 Cl 3.39, 4 Ni 3.54
Cl (0.3751, 0.3751, 0.3751)  6 Cl 2.89

## Properties
The total energy comes out at -2.591 eV per atom. Its symmetry is F-43m (216). The value obtained for the density of states at the Fermi level is 1.94 states/eV per atom. The calculation puts the raw formation energy at 1.6780 eV/atom. The total magnetization is 5.9 μB/cell.

***

(3)
# Cs3KAu

A geometry-optimized Cs3KAu structure (PBE, Alexandria).

a = 27.7568 Å, b = 9.4820 Å, c = 11.3742 Å
α = 90.00°, β = 150.97°, γ = 90.00°
With the nearest neighbours (Å) after each atom.
Fractional coordinates of all 20 atoms:
Cs (0.8419, 0.1601, 0.8439)  1 Au 3.69
Cs (0.5235, 0.7840, 0.0051)  2 Au 3.77-3.81
K (0.9170, 0.6511, 0.8951)  2 Au 3.47-3.65
Cs (0.7881, 0.9096, 0.3101)  2 Au 3.72-3.75
Cs (0.9765, 0.2840, 0.4949)  2 Au 3.77-3.81
Cs (0.4765, 0.2160, 0.9949)  2 Au 3.77-3.81
Cs (0.2119, 0.0904, 0.6899)  2 Au 3.72-3.75
K (0.5830, 0.1511, 0.6049)  2 Au 3.47-3.65
Cs (0.1581, 0.8399, 0.1561)  1 Au 3.69
Cs (0.6581, 0.6601, 0.6561)  1 Au 3.69
Cs (0.0235, 0.7160, 0.5051)  2 Au 3.77-3.81
Au (0.4533, 0.9085, 0.1588)  2 K 3.47-3.65, 5 Cs 3.69-3.81
Au (0.0467, 0.4085, 0.3412)  2 K 3.47-3.65, 5 Cs 3.69-3.81
Au (0.9533, 0.5915, 0.6588)  2 K 3.47-3.65, 5 Cs 3.69-3.81
K (0.0830, 0.3489, 0.1049)  2 Au 3.47-3.65
Cs (0.7119, 0.4096, 0.1899)  2 Au 3.72-3.75
Cs (0.2881, 0.5904, 0.8101)  2 Au 3.72-3.75
Au (0.5467, 0.0915, 0.8412)  2 K 3.47-3.65, 5 Cs 3.69-3.81
K (0.4170, 0.8489, 0.3951)  2 Au 3.47-3.65
Cs (0.3419, 0.3399, 0.3439)  1 Au 3.69

## Properties
The total energy comes out at -1.518 eV per atom. Its symmetry is P2_1/c (14). The value obtained for the density of states at the Fermi level is 0.56 states/eV per atom. The total magnetization is 0.0 μB/cell. Its offset from the most stable computed form is 7 meV per atom. As for the energy of formation: -0.131 eV per atom.